Compound: Pm8Sn2C
Source: Alexandria
Functional: PBE
Structure: relaxed

a b c (Å): 9.589 9.589 6.497
angles (deg): 108.13 108.13 33.35
Fractional positions:
Pm: 0.002 0.002 0.239
Pm: 0.223 0.223 0.156
Pm: 0.369 0.369 0.700
Pm: 0.420 0.420 0.242
Pm: 0.580 0.580 0.758
Pm: 0.631 0.631 0.300
Pm: 0.777 0.777 0.844
Pm: 0.998 0.998 0.761
Sn: 0.171 0.171 0.623
Sn: 0.829 0.829 0.377
C: 0.500 0.500 0.000

DFT total energy = -57.4 eV for the cell shown
Total magnetic moment = 0.00 μB per cell

Compound: Pm7Sn4C
Source: Alexandria
Functional: PBE
Structure: relaxed

a b c (Å): 8.553 8.553 11.328
angles (deg): 124.92 124.92 35.45
Fractional positions:
Pm: 0.000 0.000 0.000
Pm: 0.138 0.138 0.543
Pm: 0.282 0.282 0.136
Pm: 0.435 0.435 0.751
Pm: 0.565 0.565 0.249
Pm: 0.718 0.718 0.864
Pm: 0.862 0.862 0.457
Sn: 0.081 0.081 0.779
Sn: 0.222 0.222 0.347
Sn: 0.778 0.778 0.653
Sn: 0.919 0.919 0.221
C: 0.500 0.500 0.000

DFT total energy = -62.9 eV for the cell shown
Total magnetic moment = 0.00 μB per cell

Compound: Pm4SnC2
Source: Alexandria
Functional: PBE
Structure: relaxed

a b c (Å): 6.750 6.750 13.303
angles (deg): 90.00 90.00 146.49
Fractional positions:
Pm: 0.000 0.000 0.000
Pm: 0.000 0.000 0.500
Pm: 0.264 0.736 0.602
Pm: 0.264 0.736 0.898
Pm: 0.416 0.584 0.250
Pm: 0.584 0.416 0.750
Pm: 0.736 0.264 0.102
Pm: 0.736 0.264 0.398
Sn: 0.105 0.895 0.250
Sn: 0.895 0.105 0.750
C: 0.361 0.639 0.058
C: 0.361 0.639 0.442
C: 0.639 0.361 0.558
C: 0.639 0.361 0.942

DFT total energy = -86.8 eV for the cell shown
Total magnetic moment = 0.00 μB per cell

Compound: Pm7Sn2C2
Source: Alexandria
Functional: PBE
Structure: relaxed

a b c (Å): 9.441 9.441 9.441
angles (deg): 158.09 73.97 110.38
Fractional positions:
Pm: 0.000 0.000 0.000
Pm: 0.026 0.684 0.342
Pm: 0.064 0.374 0.690
Pm: 0.342 0.684 0.658
Pm: 0.416 0.554 0.862
Pm: 0.684 0.374 0.310
Pm: 0.691 0.554 0.138
Sn: 0.316 0.316 0.000
Sn: 0.736 0.236 0.500
C: 0.278 0.043 0.235
C: 0.808 0.043 0.765

DFT total energy = -61.9 eV for the cell shown
Total magnetic moment = 0.00 μB per cell

Compound: Pm6Sn2C
Source: Alexandria
Functional: PBE
Structure: relaxed

a b c (Å): 8.577 8.577 8.577
angles (deg): 145.34 130.98 61.43
Fractional positions:
Pm: 0.088 0.353 0.735
Pm: 0.224 0.000 0.224
Pm: 0.382 0.647 0.735
Pm: 0.618 0.353 0.265
Pm: 0.776 0.000 0.776
Pm: 0.912 0.647 0.265
Sn: 0.332 0.832 0.500
Sn: 0.668 0.168 0.500
C: 0.000 0.500 0.500

DFT total energy = -46.8 eV for the cell shown
Total magnetic moment = 0.01 μB per cell

Compound: Pm8SnC2
Source: Alexandria
Functional: PBE
Structure: relaxed

a b c (Å): 7.942 7.942 5.088
angles (deg): 94.99 94.99 114.75
Fractional positions:
Pm: 0.111 0.111 0.802
Pm: 0.142 0.414 0.428
Pm: 0.242 0.758 0.000
Pm: 0.414 0.142 0.428
Pm: 0.586 0.858 0.572
Pm: 0.758 0.242 0.000
Pm: 0.858 0.586 0.572
Pm: 0.889 0.889 0.198
Sn: 0.500 0.500 0.000
C: 0.177 0.823 0.500
C: 0.823 0.177 0.500

DFT total energy = -60.2 eV for the cell shown
Total magnetic moment = 0.00 μB per cell

Compound: Pm8Sn2C3
Source: Alexandria
Functional: PBE
Structure: relaxed

a b c (Å): 8.513 8.513 6.681
angles (deg): 104.87 104.87 51.85
Fractional positions:
Pm: 0.098 0.098 0.899
Pm: 0.150 0.669 0.612
Pm: 0.331 0.850 0.388
Pm: 0.391 0.391 0.036
Pm: 0.609 0.609 0.964
Pm: 0.669 0.150 0.612
Pm: 0.850 0.331 0.388
Pm: 0.902 0.902 0.101
Sn: 0.256 0.256 0.328
Sn: 0.744 0.744 0.672
C: 0.000 0.000 0.500
C: 0.255 0.745 0.000
C: 0.745 0.255 0.000

DFT total energy = -76.9 eV for the cell shown
Total magnetic moment = 0.00 μB per cell

Compound: Pm4Sn3C
Source: Alexandria
Functional: PBE
Structure: relaxed

a b c (Å): 7.860 7.860 3.789
angles (deg): 90.00 90.00 101.81
Fractional positions:
Pm: 0.180 0.180 0.500
Pm: 0.224 0.776 0.000
Pm: 0.776 0.224 0.000
Pm: 0.820 0.820 0.500
Sn: 0.000 0.500 0.500
Sn: 0.500 0.000 0.500
Sn: 0.500 0.500 0.000
C: 0.000 0.000 0.000

DFT total energy = -43.2 eV for the cell shown
Total magnetic moment = 0.00 μB per cell

Compound: Pm12Sn5C2
Source: Alexandria
Functional: PBE
Structure: relaxed

a b c (Å): 9.541 9.541 9.726
angles (deg): 104.91 104.91 47.49
Fractional positions:
Pm: 0.002 0.002 0.182
Pm: 0.101 0.594 0.924
Pm: 0.102 0.595 0.426
Pm: 0.405 0.898 0.574
Pm: 0.406 0.899 0.076
Pm: 0.497 0.497 0.171
Pm: 0.503 0.503 0.829
Pm: 0.594 0.101 0.924
Pm: 0.595 0.102 0.426
Pm: 0.898 0.405 0.574
Pm: 0.899 0.406 0.076
Pm: 0.998 0.998 0.818
Sn: 0.185 0.185 0.837
Sn: 0.192 0.192 0.349
Sn: 0.500 0.500 0.500
Sn: 0.808 0.808 0.651
Sn: 0.815 0.815 0.163
C: 0.248 0.752 0.000
C: 0.752 0.248 0.000

DFT total energy = -102.1 eV for the cell shown
Total magnetic moment = 3.99 μB per cell

Compound: Tb2PmSnC
Source: Alexandria
Functional: PBE
Structure: relaxed

a b c (Å): 4.930 4.930 5.053
angles (deg): 90.00 90.00 90.00
Fractional positions:
Tb: 0.000 0.500 0.000
Tb: 0.500 0.000 0.000
Pm: 0.000 0.000 0.500
Sn: 0.500 0.500 0.500
C: 0.000 0.000 0.000

DFT total energy = -30.1 eV for the cell shown
Total magnetic moment = 0.00 μB per cell

Number 1: energy relative to the elements -0.20 eV per atom. Number 2: energy relative to the elements -0.37 eV per atom. Number 3: energy relative to the elements -0.28 eV per atom. Number 4: energy relative to the elements -0.20 eV per atom. Number 5: energy relative to the elements -0.12 eV per atom. Number 6: energy relative to the elements 0.02 eV per atom. Number 7: energy relative to the elements -0.25 eV per atom. Number 8: energy relative to the elements -0.36 eV per atom. Number 9: energy relative to the elements -0.35 eV per atom. Number 10: energy relative to the elements -0.57 eV per atom.